{
  "formula": "LiSc2Mn",
  "functional": "PBE",
  "state": "optimized geometry",
  "cell": [[10.301, 0.000, 0.000], [0.000, 3.125, 0.000], [-1.532, 0.000, 4.697]],
  "species": ["Li", "Li", "Sc", "Sc", "Sc", "Sc", "Mn", "Mn"],
  "frac_coords": [[0.000, 0.000, 0.000], [0.500, 0.500, 0.000], [0.239, 0.000, 0.813], [0.449, 0.000, 0.450], [0.739, 0.500, 0.813], [0.949, 0.500, 0.450], [0.209, 0.500, 0.318], [0.709, 0.000, 0.318]],
  "formation_energy_ev_per_atom": 0.16,
  "total_magnetization_mub_per_atom": 0.485
}

=====

{
  "formula": "Pr3ErTm",
  "functional": "PBE",
  "state": "optimized geometry",
  "cell": [[9.607, -2.909, 0.000], [9.607, 2.909, 0.000], [-0.016, 0.000, 6.117]],
  "species": ["Pr", "Pr", "Pr", "Pr", "Pr", "Pr", "Er", "Er", "Tm", "Tm"],
  "frac_coords": [[0.057, 0.057, 0.209], [0.250, 0.250, 0.181], [0.443, 0.443, 0.211], [0.557, 0.557, 0.789], [0.750, 0.750, 0.819], [0.943, 0.943, 0.791], [0.155, 0.155, 0.682], [0.845, 0.845, 0.318], [0.345, 0.345, 0.684], [0.655, 0.655, 0.316]],
  "formation_energy_ev_per_atom": 0.06,
  "total_magnetization_mub_per_atom": 0.000
}

=====

{
  "formula": "In4PbBr",
  "functional": "PBE",
  "state": "optimized geometry",
  "cell": [[0.000, 4.459, 4.459], [4.459, 0.000, 4.459], [4.459, 4.459, 0.000]],
  "species": ["In", "In", "In", "In", "Pb", "Br"],
  "frac_coords": [[0.125, 0.125, 0.125], [0.125, 0.125, 0.625], [0.125, 0.625, 0.125], [0.625, 0.125, 0.125], [0.750, 0.750, 0.750], [0.500, 0.500, 0.500]],
  "formation_energy_uncorrected_mev_per_atom": -31,
  "total_magnetization_mub_per_atom": 0.000
}

=====

{
  "formula": "MgW2Cl",
  "functional": "PBE",
  "state": "optimized geometry",
  "cell": [[2.947, 0.000, 0.000], [-1.474, 2.553, 0.000], [0.000, 0.000, 26.950]],
  "species": ["Mg", "Mg", "Mg", "W", "W", "W", "W", "W", "W", "Cl", "Cl", "Cl"],
  "frac_coords": [[0.000, 0.000, 0.000], [0.333, 0.667, 0.667], [0.667, 0.333, 0.333], [0.000, 0.000, 0.506], [0.000, 0.000, 0.754], [0.333, 0.667, 0.172], [0.333, 0.667, 0.420], [0.667, 0.333, 0.087], [0.667, 0.333, 0.839], [0.000, 0.000, 0.246], [0.333, 0.667, 0.913], [0.667, 0.333, 0.579]],
  "formation_energy_uncorrected_mev_per_atom": 338,
  "total_magnetization_mub_per_atom": 0.000
}